1.
The following is a GGA-PBE calculation of a geometry-optimized LiCaZnPd structure, from Alexandria via LeMat-Bulk.

Calculated values
E_form, eV per atom: -0.435
Total magnetic moment, μB/f.u.: 0.00

Structure (CIF):
```
data_LiCaZnPd
_chemical_formula_sum 'Li2 Ca2 Zn2 Pd2'
_space_group_name_H-M_alt 'C 1 m 1'
_space_group_IT_number 8
_space_group_name_Hall 'C -2y'
_cell_length_a 7.651
_cell_length_b 4.435
_cell_length_c 5.555
_cell_angle_alpha 90.00
_cell_angle_beta 118.20
_cell_angle_gamma 90.00
loop_
_atom_site_label
_atom_site_type_symbol
_atom_site_fract_x
_atom_site_fract_y
_atom_site_fract_z
Li1 Li 0.000 0.000 0.000
Ca1 Ca 0.200 0.000 0.599
Zn1 Zn 0.221 0.500 0.161
Pd1 Pd 0.407 0.000 0.219
```



2.
The following is a GGA-PBE calculation of a geometry-optimized CsTlHSe structure, from Alexandria via LeMat-Bulk.

Calculated values
ΔE to the lowest computed polymorph, kJ per mole of atoms: 8.07
Total magnetic moment, μB/f.u.: 0.00

Structure (CIF):
```
data_CsTlHSe
_chemical_formula_sum 'Cs2 Tl2 H2 Se2'
_space_group_name_H-M_alt 'C 1 m 1'
_space_group_IT_number 8
_space_group_name_Hall 'C -2y'
_cell_length_a 10.003
_cell_length_b 4.626
_cell_length_c 7.186
_cell_angle_alpha 90.00
_cell_angle_beta 120.71
_cell_angle_gamma 90.00
loop_
_atom_site_label
_atom_site_type_symbol
_atom_site_fract_x
_atom_site_fract_y
_atom_site_fract_z
Cs1 Cs 0.000 0.000 0.000
Tl1 Tl 0.029 0.500 0.559
H1 H 0.164 0.500 0.374
Se1 Se 0.312 0.500 0.331
```



3.
The following is a GGA-PBE calculation of a geometry-optimized KZn2Sn8 structure, from Alexandria via LeMat-Bulk.

Calculated values
E_form, eV per atom: 0.089
Total magnetic moment, μB/f.u.: 0.00

Structure (CIF):
```
data_KZn2Sn8
_chemical_formula_sum 'K1 Zn2 Sn8'
_space_group_name_H-M_alt 'P 4/m m m'
_space_group_IT_number 123
_space_group_name_Hall '-P 4 2'
_cell_length_a 6.230
_cell_length_b 6.230
_cell_length_c 9.806
_cell_angle_alpha 90.00
_cell_angle_beta 90.00
_cell_angle_gamma 90.00
loop_
_atom_site_label
_atom_site_type_symbol
_atom_site_fract_x
_atom_site_fract_y
_atom_site_fract_z
K1 K 0.000 0.000 0.000
Zn1 Zn 0.000 0.500 0.500
Sn1 Sn 0.252 0.252 0.312
```



What is the formula in the first record? LiCaZnPd